# GGA-PBE SbAuSeI2, optimized geometry
data_SbAuSeI2
_space_group_name_H-M_alt 'P 4/m m m'
_space_group_IT_number 123
_space_group_name_Hall '-P 4 2'
_cell_length_a 5.5492
_cell_length_b 5.5492
_cell_length_c 5.8494
_cell_angle_alpha 90.00
_cell_angle_beta 90.00
_cell_angle_gamma 90.00
loop_
_atom_site_label
_atom_site_type_symbol
_atom_site_fract_x
_atom_site_fract_y
_atom_site_fract_z
Sb1 Sb 0.0000 0.0000 0.0000
Au1 Au 0.5000 0.5000 0.0000
Se1 Se 0.0000 0.0000 0.5000
I1 I 0.0000 0.5000 0.5000
# Electronic total energy (eV per atom): -2.07
# Total magnetization (μB per formula unit): 1.16
# DOS at the Fermi energy (states/eV/atom): 0.88